Material: K2In3SnI6
Method: DFT, PBE-GGA
State: optimized geometry

Results
Total energy: -2.65 eV/atom
Density of states at the Fermi level: 0.48 states/eV/f.u.
Volume: 1055.7 Å³/cell

a b c (Å): 8.3383 14.6718 9.3247
angles (deg): 90.00 112.26 90.00
With the nearest neighbours (Å) after each atom.
Space group C2/m (No. 12)
Asymmetric unit:
1 K 0.0000 0.1565 0.0000 [4 per cell]  6 I 3.54-3.73
2 In 0.0000 0.0000 0.5000 [2 per cell]  6 I 3.42-3.54
3 In 0.0000 0.3289 0.5000 [4 per cell]  6 I 3.38-3.64
4 Sn 0.0000 0.5000 0.0000 [2 per cell]  4 I 3.27
5 I 0.2246 0.3409 0.2355 [8 per cell]  1 Sn 3.27, 3 In 3.54-3.64, 1 K 3.54
6 I 0.2470 0.5000 0.7155 [4 per cell]  3 In 3.38-3.42, 2 K 3.54


Material: Sb2RuPt
Method: DFT, PBE-GGA
State: optimized geometry

Results
Offset from the most stable computed form: 275.4 meV/atom
Density of states at the Fermi level: 3.19 states/eV/f.u.
Volume: 300.4 Å³/cell

a b c (Å): 6.6970 6.6970 6.6970
angles (deg): 90.00 90.00 90.00
With the nearest neighbours (Å) after each atom.
Space group Fm-3m (No. 225)
Asymmetric unit:
1 Sb 0.2500 0.2500 0.2500 [8 per cell]  4 Ru 2.90, 4 Pt 2.90
2 Ru 0.0000 0.0000 0.0000 [4 per cell]  8 Sb 2.90
3 Pt 0.0000 0.0000 0.5000 [4 per cell]  8 Sb 2.90


> Number 2 is which compound?

Sb2RuPt